No. 1
# Zr2SbPF, relaxed, DFT GGA-PBE
# Calculated total energy   -31.031 eV/cell
# Raw formation energy   -2.53 eV/f.u.
# Total moment   0.00 μB/f.u.
data_Zr2SbPF
_chemical_formula_sum 'Zr2 Sb1 P1 F1'
_cell_length_a 4.438
_cell_length_b 4.438
_cell_length_c 4.885
_cell_angle_alpha 90.00
_cell_angle_beta 90.00
_cell_angle_gamma 90.00
_space_group_name_H-M_alt 'P 4/m m m'
_space_group_IT_number 123
_space_group_name_Hall '-P 4 2'
loop_
_atom_site_label
_atom_site_type_symbol
_atom_site_fract_x
_atom_site_fract_y
_atom_site_fract_z
Zr1 Zr 0.000 0.500 0.000
Sb1 Sb 0.000 0.000 0.500
P1 P 0.500 0.500 0.500
F1 F 0.500 0.500 0.000

No. 2
# TlMo2Pb, relaxed, DFT GGA-PBE
# Calculated total energy   -24.245 eV/cell
# Total moment   0.00 μB/f.u.
# Energy above the lowest structure with this stoichiometry   0.462 eV/atom
# ΔE_f   0.873 eV per atom
data_TlMo2Pb
_chemical_formula_sum 'Tl1 Mo2 Pb1'
_cell_length_a 4.959
_cell_length_b 3.149
_cell_length_c 5.452
_cell_angle_alpha 90.00
_cell_angle_beta 111.41
_cell_angle_gamma 90.00
_space_group_name_H-M_alt 'P 1 2/m 1'
_space_group_IT_number 10
loop_
_space_group_symop_operation_xyz
'x,y,z'
'-x,-y,-z'
'-x,y,-z'
'x,-y,z'
loop_
_atom_site_label
_atom_site_type_symbol
_atom_site_fract_x
_atom_site_fract_y
_atom_site_fract_z
Tl1 Tl 0.000 0.000 0.000
Mo1 Mo 0.500 0.000 0.500
Mo2 Mo 0.500 0.500 0.000
Pb1 Pb 0.000 0.500 0.500

No. 3
# CaPmTm2, relaxed, DFT GGA-PBE
# Calculated total energy   -44.969 eV/cell
# Total moment   0.00 μB/f.u.
# Energy above the lowest structure with this stoichiometry   0.103 eV/atom
# ΔE_f   0.176 eV per atom
data_CaPmTm2
_chemical_formula_sum 'Ca3 Pm3 Tm6'
_cell_length_a 3.5447
_cell_length_b 3.5447
_cell_length_c 37.4276
_cell_angle_alpha 90.00
_cell_angle_beta 90.00
_cell_angle_gamma 120.00
_space_group_name_H-M_alt 'R -3 m'
_space_group_IT_number 166
_space_group_name_Hall '-R 3 2"'
loop_
_atom_site_label
_atom_site_type_symbol
_atom_site_fract_x
_atom_site_fract_y
_atom_site_fract_z
Ca1 Ca 0.0000 0.0000 0.0000
Pm1 Pm 0.0000 0.0000 0.5000
Tm1 Tm 0.0000 0.0000 0.0903

No. 4
# SmHoErGa, relaxed, DFT GGA-PBE
# Calculated total energy   -68.954 eV/cell
# Total moment   0.71 μB/f.u.
# ΔE_f   -0.088 eV per atom
data_SmHoErGa
_chemical_formula_sum 'Sm4 Ho4 Er4 Ga4'
_cell_length_a 7.539
_cell_length_b 7.539
_cell_length_c 7.539
_cell_angle_alpha 90.00
_cell_angle_beta 90.00
_cell_angle_gamma 90.00
_space_group_name_H-M_alt 'F -4 3 m'
_space_group_IT_number 216
_space_group_name_Hall 'F -4 2 3'
loop_
_atom_site_label
_atom_site_type_symbol
_atom_site_fract_x
_atom_site_fract_y
_atom_site_fract_z
Sm1 Sm 0.000 0.000 0.000
Ho1 Ho 0.000 0.000 0.500
Er1 Er 0.250 0.250 0.250
Ga1 Ga 0.250 0.250 0.750